Tb2Sm2Ir3 | PBE | relaxed

Properties
As for the formation energy: -0.741 eV/atom. Its space-group type is No. 166. As for the spin magnetization: 0.0 μB per formula unit. The offset from the most stable computed form is 0.0 meV/atom. For the density of states at the Fermi level, the calculation gives 3.2 states/eV/f.u. Its calculated density is 12.1 Mg/m³. For the volume, the calculation gives 164.68 Å³/cell. The final energy comes out at -7.209 eV/atom.

Lattice parameters (Å, degrees): 8.549 8.549 8.549 32.98 32.98 32.98
Fractional positions:
Tb 0.125 0.125 0.125
Tb 0.875 0.875 0.875
Sm 0.375 0.375 0.375
Sm 0.625 0.625 0.625
Ir 0.249 0.249 0.249
Ir 0.500 0.500 0.500
Ir 0.751 0.751 0.751


TbSm2Ir9 | PBE | relaxed

Properties
As for the formation energy: -0.548 eV/atom. Its space-group type is No. 166. As for the spin magnetization: 0.0 μB per formula unit. For the density of states at the Fermi level, the calculation gives 11.6 states/eV/f.u. Its calculated density is 16.7 Mg/m³. For the volume, the calculation gives 218.00 Å³/cell. The final energy comes out at -8.367 eV/atom.

Lattice parameters (Å, degrees): 9.362 9.362 9.362 33.12 33.12 33.12
Fractional positions:
Tb 0.000 0.000 0.000
Sm 0.139 0.139 0.139
Sm 0.861 0.861 0.861
Ir 0.083 0.580 0.580
Ir 0.332 0.332 0.332
Ir 0.420 0.420 0.917
Ir 0.420 0.917 0.420
Ir 0.500 0.500 0.500
Ir 0.580 0.083 0.580
Ir 0.580 0.580 0.083
Ir 0.668 0.668 0.668
Ir 0.917 0.420 0.420


TbSmIr2 | PBE | relaxed

Properties
As for the formation energy: -0.705 eV/atom. Its space-group type is No. 123. As for the spin magnetization: 0.0 μB per formula unit. The offset from the most stable computed form is 4.4 meV/atom. For the density of states at the Fermi level, the calculation gives 0.9 states/eV/f.u. Its calculated density is 13.8 Mg/m³. For the volume, the calculation gives 83.70 Å³/cell. The final energy comes out at -7.473 eV/atom.

Lattice parameters (Å, degrees): 4.807 4.807 3.622 90.00 90.00 90.00
Fractional positions:
Tb 0.000 0.000 0.000
Sm 0.500 0.500 0.000
Ir 0.000 0.500 0.500
Ir 0.500 0.000 0.500


Tb2Sm3Ir2 | PBE | relaxed

Properties
As for the formation energy: -0.558 eV/atom. Its space-group type is No. 12. As for the spin magnetization: 0.0 μB per formula unit. For the density of states at the Fermi level, the calculation gives 6.2 states/eV/f.u. Its calculated density is 9.9 Mg/m³. For the volume, the calculation gives 385.45 Å³/cell. The final energy comes out at -6.435 eV/atom.

Lattice parameters (Å, degrees): 12.213 3.912 8.947 90.00 115.59 90.00
Fractional positions:
Tb 0.170 0.000 0.311
Tb 0.330 0.500 0.689
Tb 0.670 0.500 0.311
Tb 0.830 0.000 0.689
Sm 0.000 0.500 0.500
Sm 0.117 0.500 0.928
Sm 0.383 0.000 0.072
Sm 0.500 0.000 0.500
Sm 0.617 0.000 0.928
Sm 0.883 0.500 0.072
Ir 0.182 0.000 0.738
Ir 0.318 0.500 0.262
Ir 0.682 0.500 0.738
Ir 0.818 0.000 0.262